--- one ---
A plane-wave DFT calculation with PBE was carried out for InTeSeI2 after structural relaxation.

extended XYZ file:
```
5
Lattice="5.960 0.000 0.000 0.000 5.960 0.000 0.000 0.000 5.862" Properties=species:S:1:pos:R:3 pbc="T T T"
In 0.000 0.000 0.000
Te 0.000 0.000 2.931
Se 2.980 2.980 2.931
I 0.000 2.980 0.000
I 2.980 0.000 0.000
```

Results
Volume (Å³/cell): 208.22
Magnetic moment (μB per cell): 3.3
Crystal system: tetragonal



--- two ---
A plane-wave DFT calculation with PBE was carried out for InTeSeI2 after structural relaxation.

extended XYZ file:
```
5
Lattice="5.978 0.000 0.000 0.000 5.978 0.000 0.000 0.000 5.724" Properties=species:S:1:pos:R:3 pbc="T T T"
In 0.000 0.000 0.000
Te 2.989 2.989 0.000
Se 2.989 2.989 2.862
I 0.000 2.989 2.862
I 2.989 0.000 2.862
```

Results
Volume (Å³/cell): 204.58
Magnetic moment (μB per cell): 0.0
Crystal system: tetragonal



Name the least stable of them. one.



--- one ---
A plane-wave DFT calculation with PBE was carried out for InSiTeI2 after structural relaxation.

extended XYZ file:
```
5
Lattice="5.784 0.000 0.000 0.000 5.784 0.000 0.000 0.000 5.849" Properties=species:S:1:pos:R:3 pbc="T T T"
In 0.000 0.000 0.000
Si 2.892 2.892 2.924
Te 0.000 0.000 2.924
I 0.000 2.892 0.000
I 2.892 0.000 0.000
```

Results
Volume (Å³/cell): 195.65
Magnetic moment (μB per cell): 0.6
Crystal system: tetragonal



--- two ---
A plane-wave DFT calculation with PBE was carried out for InSiTeI2 after structural relaxation.

extended XYZ file:
```
5
Lattice="5.787 0.000 0.000 0.000 5.787 0.000 0.000 0.000 5.613" Properties=species:S:1:pos:R:3 pbc="T T T"
In 0.000 0.000 0.000
Si 2.894 2.894 2.806
Te 2.894 2.894 0.000
I 0.000 2.894 2.806
I 2.894 0.000 2.806
```

Results
Volume (Å³/cell): 187.98
Magnetic moment (μB per cell): 0.1
Crystal system: tetragonal



Name the least stable of them. one.



--- one ---
A plane-wave DFT calculation with PBE was carried out for Sm2InI after structural relaxation.

extended XYZ file:
```
4
Lattice="3.706 0.000 0.000 0.000 3.706 0.000 0.000 0.000 8.524" Properties=species:S:1:pos:R:3 pbc="T T T"
Sm 0.000 0.000 2.008
Sm 0.000 0.000 6.516
In 1.853 1.853 0.000
I 1.853 1.853 4.262
```

Results
Volume (Å³/cell): 117.06
Magnetic moment (μB per cell): 0.0
Crystal system: tetragonal



--- two ---
A plane-wave DFT calculation with PBE was carried out for Sm2InI after structural relaxation.

extended XYZ file:
```
8
Lattice="4.541 0.000 0.000 2.269 7.353 0.000 0.002 1.853 8.128" Properties=species:S:1:pos:R:3 pbc="T T T"
Sm 1.137 3.929 2.408
Sm 1.137 1.300 5.611
Sm 5.675 7.906 2.517
Sm 5.675 5.277 5.720
In 3.404 6.046 3.654
In 3.408 3.160 4.474
I 1.135 1.558 0.276
I 5.677 7.648 7.852
```

Results
Volume (Å³/cell): 271.37
Magnetic moment (μB per cell): 0.0
Crystal system: triclinic



Name the least stable of them. one.